1.
A plane-wave DFT calculation with PBE was carried out for a geometry-optimized Tb8Pm3 structure.

The structure belongs to space group R-3m (No. 166, hexagonal axes); the cell edges are 3.5849, 3.5849 and 96.3427 Å and the angles 90.00°, 90.00° and 120.00°. The distinct sites, in fractional coordinates, are Tb at (0.0000, 0.0000, 0.0450), Tb at (0.0000, 0.0000, 0.1362), Tb at (0.0000, 0.0000, 0.3183), Tb at (0.0000, 0.0000, 0.4084), Pm at (0.0000, 0.0000, 0.2277) and Pm at (0.0000, 0.0000, 0.5000).

The calculation puts the volume at 1072 Å³/cell. As for the excess energy over the best structure of this formula in the dataset: 0.00 eV per formula unit. The value obtained for the calculated total energy is -4.649 eV per atom. The calculation puts the energy of formation from the pure elements at 0.01 eV/atom.

2.
A plane-wave DFT calculation with PBE was carried out for a geometry-optimized TbPm3 structure.

The structure belongs to space group Pmm2 (No. 25); the cell edges are 3.672, 5.850 and 6.355 Å and the angles 90.00°, 90.00° and 90.00°. The distinct sites, in fractional coordinates, are Tb at (0.000, 0.000, 0.000), Pm at (0.000, 0.500, 0.333), Pm at (0.500, 0.000, 0.499) and Pm at (0.500, 0.500, 0.833).

The calculation puts the volume at 137 Å³/cell. As for the excess energy over the best structure of this formula in the dataset: 0.12 eV per formula unit. The value obtained for the calculated total energy is -4.690 eV per atom. The calculation puts the energy of formation from the pure elements at 0.03 eV/atom.

Look up the calculated total energy of the second one.
-4.690 eV per atom

Number 2 is which compound?
TbPm3